Record 1
Computed, not measured: an optimized crystal structure of Li7Mn4CoO12 at the GGA+U level of DFT.

The structure in POSCAR format:
```
Li7Mn4CoO12
1.0
-1.6236 -2.3283 0.4249
4.2087 -2.5723 1.9862
-2.8288 4.4427 13.5345
Li O Co Mn
7 12 1 4
direct
0.5000 0.6362 0.1553
0.5000 0.3638 0.8447
0.0000 0.5000 0.5000
0.5000 0.0000 0.0000
0.5000 0.0000 0.5000
0.0000 0.8679 0.8494
0.0000 0.1321 0.1506
0.0000 0.4691 0.2558
0.0000 0.7804 0.0725
0.5000 0.3185 0.5910
0.5000 0.3457 0.0724
0.0000 0.2196 0.9275
0.5000 0.6815 0.4090
0.0000 0.5309 0.7442
0.0000 0.1772 0.4094
0.0000 0.8228 0.5906
0.5000 0.6543 0.9276
0.5000 0.9689 0.2524
0.5000 0.0311 0.7476
0.0000 0.5000 0.0000
0.0000 0.1785 0.6708
0.5000 0.3207 0.3308
0.5000 0.6793 0.6692
0.0000 0.8215 0.3292
```

E_tot in eV/cell: -147.53
DOS(E_F) in states/eV per cell: 7.150
Spin magnetization in μB/f.u.: 17.3

=====

Record 2
Computed, not measured: an optimized crystal structure of Li2Mn3CoO8 at the GGA+U level of DFT.

The structure in POSCAR format:
```
Li2Mn3CoO8
1.0
-4.6638 -4.9617 4.8151
5.8927 0.1856 5.8988
-3.6165 6.7009 3.4019
O Mn Co Li
32 12 4 8
direct
0.8737 0.1067 0.1001
0.3651 0.3651 0.3651
0.3737 0.3933 0.8999
0.6499 0.3567 0.6237
0.6263 0.8933 0.6001
0.3999 0.1263 0.6067
0.3763 0.1499 0.1433
0.1349 0.6349 0.8651
0.1067 0.1001 0.8737
0.3849 0.6151 0.1151
0.6349 0.8651 0.1349
0.1499 0.1433 0.3763
0.1237 0.8501 0.6433
0.6433 0.1237 0.8501
0.6067 0.3999 0.1263
0.3933 0.8999 0.3737
0.3567 0.6237 0.6499
0.8567 0.8763 0.3501
0.6237 0.6499 0.3567
0.8763 0.3501 0.8567
0.1263 0.6067 0.3999
0.8933 0.6001 0.6263
0.3501 0.8567 0.8763
0.8849 0.8849 0.8849
0.1433 0.3763 0.1499
0.6151 0.1151 0.3849
0.8501 0.6433 0.1237
0.8651 0.1349 0.6349
0.6001 0.6263 0.8933
0.8999 0.3737 0.3933
0.1151 0.3849 0.6151
0.1001 0.8737 0.1067
0.6296 0.1250 0.6204
0.3796 0.1296 0.3750
0.8796 0.3704 0.6250
0.3704 0.6250 0.8796
0.1296 0.3750 0.3796
0.6250 0.8796 0.3704
0.1250 0.6204 0.6296
0.1204 0.8704 0.8750
0.8750 0.1204 0.8704
0.3750 0.3796 0.1296
0.6204 0.6296 0.1250
0.8704 0.8750 0.1204
0.8750 0.6250 0.3750
0.3750 0.8750 0.6250
0.6250 0.3750 0.8750
0.1250 0.1250 0.1250
0.9970 0.4970 0.0030
0.2470 0.7530 0.2530
0.4970 0.0030 0.9970
0.7530 0.2530 0.2470
0.2530 0.2470 0.7530
0.0030 0.9970 0.4970
0.5030 0.5030 0.5030
0.7470 0.7470 0.7470
```

E_tot in eV/cell: -371.18
Spin magnetization in μB/f.u.: 11.9

=====

Record 3
Computed, not measured: an optimized crystal structure of Li6Mn3CoO10 at the GGA+U level of DFT.

The structure in POSCAR format:
```
Li6Mn3CoO10
1.0
6.0143 -1.0060 1.9888
6.3326 1.0093 -0.1346
0.6715 7.0730 6.8138
Li Mn O Co
6 3 10 1
direct
0.1059 0.1059 0.6800
0.5154 0.5154 0.4827
0.2895 0.2895 0.1184
0.6989 0.6989 0.9144
0.1979 0.1979 0.3939
0.8901 0.8901 0.3027
0.4046 0.4046 0.7967
0.9960 0.9960 0.0079
0.8005 0.8005 0.5922
0.2650 0.2650 0.7353
0.3471 0.3471 0.4695
0.6623 0.6623 0.5576
0.7390 0.7390 0.2472
0.9467 0.9467 0.6549
0.8573 0.8573 0.9437
0.4554 0.4554 0.1412
0.1360 0.1360 0.0622
0.0519 0.0519 0.3287
0.5417 0.5417 0.8658
0.5991 0.5991 0.2051
```

E_tot in eV/cell: -121.57
DOS(E_F) in states/eV per cell: 5.725
Spin magnetization in μB/f.u.: 2.7

=====

Record 4
Computed, not measured: an optimized crystal structure of Li7Mn4CoO12 at the GGA+U level of DFT.

The structure in POSCAR format:
```
Li7Mn4CoO12
1.0
4.6703 -2.0498 0.0454
0.9654 2.3135 5.3878
-5.0993 -5.4677 1.7449
Li O Mn Co
7 12 4 1
direct
0.4916 0.2532 0.9970
0.4941 0.7479 0.9964
0.0011 0.1667 0.6644
0.5084 0.5791 0.3349
0.5265 0.0990 0.3506
0.4835 0.9253 0.6659
0.5044 0.4010 0.6632
0.7846 0.5581 0.1681
0.2138 0.7826 0.1569
0.7657 0.6856 0.8276
0.2399 0.1006 0.4819
0.2261 0.6460 0.5057
0.2135 0.9390 0.8316
0.2177 0.4731 0.8312
0.7736 0.0224 0.1692
0.7772 0.8585 0.4957
0.2406 0.3156 0.1544
0.7665 0.3953 0.5084
0.7702 0.2217 0.8586
0.0049 0.8371 0.3375
0.9981 0.4959 0.9968
0.9915 0.6614 0.6633
0.9991 0.0041 0.9997
0.0072 0.3311 0.3407
```

E_tot in eV/cell: -149.34
Spin magnetization in μB/f.u.: 15.9

=====

Record 5
Computed, not measured: an optimized crystal structure of Li4MnCo2O7 at the GGA+U level of DFT.

The structure in POSCAR format:
```
Li4MnCo2O7
1.0
1.4279 4.8374 -0.0624
-1.4279 4.8374 -0.0624
0.0000 1.9420 17.1379
O Co Li Mn
14 4 8 2
direct
0.8016 0.8016 0.1830
0.6273 0.6273 0.9639
0.3667 0.3667 0.0418
0.2321 0.2321 0.3236
0.4848 0.4848 0.2511
0.3450 0.3450 0.5319
0.9155 0.9155 0.3920
0.0552 0.0552 0.1109
0.4963 0.4963 0.7572
0.7871 0.7871 0.6650
0.9369 0.9369 0.8946
0.1925 0.1925 0.8250
0.6633 0.6633 0.4643
0.0960 0.0960 0.5983
0.4278 0.4278 0.1467
0.8585 0.8585 0.2874
0.2888 0.2888 0.4281
0.7214 0.7214 0.5720
0.7121 0.7121 0.0762
0.1431 0.1431 0.2164
0.4359 0.4359 0.6455
0.2789 0.2789 0.9279
0.8529 0.8529 0.7755
0.1397 0.1397 0.7110
0.0062 0.0062 0.4986
0.5738 0.5738 0.3575
0.5639 0.5639 0.8518
0.9969 0.9969 0.0030
```

E_tot in eV/cell: -162.76
DOS(E_F) in states/eV per cell: 0.532
Spin magnetization in μB/f.u.: 2.0

=====

Record 6
Computed, not measured: an optimized crystal structure of Li7Mn4CoO12 at the GGA+U level of DFT.

The structure in POSCAR format:
```
Li7Mn4CoO12
1.0
-1.2279 -4.0656 2.7926
2.2524 -2.0828 -5.0810
6.3821 1.8599 4.0208
O Li Mn Co
12 7 4 1
direct
0.2292 0.1374 0.2375
0.7649 0.7314 0.0794
0.7656 0.8576 0.7610
0.2199 0.7965 0.9083
0.7772 0.5346 0.4271
0.7751 0.2023 0.0955
0.2175 0.9452 0.5925
0.2332 0.4742 0.5741
0.7781 0.3851 0.7390
0.2185 0.2633 0.9102
0.2355 0.6077 0.2577
0.7858 0.0682 0.4227
0.4924 0.4256 0.1541
0.5114 0.2526 0.4966
0.5091 0.5776 0.8438
0.4943 0.7491 0.4956
0.4899 0.0824 0.8396
0.5014 0.9102 0.1659
0.0003 0.5012 0.0020
0.9936 0.9952 0.0021
0.9998 0.6641 0.6706
0.0065 0.3422 0.3293
0.0008 0.1694 0.6702
0.0000 0.8270 0.3251
```

E_tot in eV/cell: -149.20
Spin magnetization in μB/f.u.: 16.0

=====

Record 7
Computed, not measured: an optimized crystal structure of Li2MnCo3O8 at the GGA+U level of DFT.

The structure in POSCAR format:
```
Li2MnCo3O8
1.0
4.2651 1.5685 3.4040
-5.3181 1.5893 1.1957
-1.1608 -7.6204 4.9658
O Co Li Mn
16 6 4 2
direct
0.6667 0.3333 0.6073
0.3299 0.1650 0.1028
0.0000 0.0000 0.3082
0.1650 0.8350 0.6028
0.3333 0.6667 0.1073
0.9599 0.4799 0.8377
0.5201 0.0401 0.8377
0.1650 0.3299 0.6028
0.0401 0.5201 0.3377
0.4799 0.9599 0.3377
0.0000 0.0000 0.8082
0.8350 0.6701 0.1028
0.8350 0.1650 0.1028
0.4799 0.5201 0.3377
0.6701 0.8350 0.6028
0.5201 0.4799 0.8377
0.1695 0.8305 0.2116
0.8305 0.1695 0.7116
0.3389 0.1695 0.7116
0.1695 0.3389 0.2116
0.8305 0.6611 0.7116
0.6611 0.8305 0.2116
0.0000 0.0000 0.9987
0.6667 0.3333 0.3971
0.3333 0.6667 0.8971
0.0000 0.0000 0.4987
0.3333 0.6667 0.4840
0.6667 0.3333 0.9840
```

E_tot in eV/cell: -167.92
DOS(E_F) in states/eV per cell: 4.578
Spin magnetization in μB/f.u.: 2.0

=====

Record 8
Computed, not measured: an optimized crystal structure of Li4MnCo2O7 at the GGA+U level of DFT.

The structure in POSCAR format:
```
Li4MnCo2O7
1.0
2.8828 -0.0166 0.0197
-1.3103 9.6363 -0.0323
-0.2717 -4.0829 8.7791
O Li Co Mn
14 8 4 2
direct
0.1959 0.3449 0.4629
0.3134 0.6247 0.0389
0.7306 0.4962 0.7640
0.5559 0.0805 0.3872
0.9013 0.7675 0.3176
0.6059 0.2047 0.1911
0.8041 0.6551 0.5371
0.6866 0.3753 0.9611
0.4441 0.9195 0.6128
0.9741 0.9403 0.1217
0.0987 0.2325 0.6824
0.0259 0.0597 0.8783
0.2694 0.5038 0.2360
0.3941 0.7953 0.8089
0.0000 0.0000 0.5000
0.5000 0.0000 0.0000
0.2800 0.5754 0.6470
0.1397 0.2738 0.0604
0.7200 0.4246 0.3530
0.8603 0.7262 0.9396
0.5626 0.1452 0.7932
0.4374 0.8548 0.2068
0.7916 0.5673 0.1393
0.2084 0.4327 0.8607
0.6499 0.2935 0.5778
0.3501 0.7065 0.4222
0.9246 0.8676 0.7235
0.0754 0.1324 0.2765
```

E_tot in eV/cell: -163.48
DOS(E_F) in states/eV per cell: 0.216
Spin magnetization in μB/f.u.: 7.0

=====

Record 9
Computed, not measured: an optimized crystal structure of Li4MnCo2O7 at the GGA+U level of DFT.

The structure in POSCAR format:
```
Li4MnCo2O7
1.0
-0.8905 -2.6581 -0.5064
2.7601 -3.0136 2.9593
-10.5059 0.8472 13.9872
O Co Mn Li
14 4 2 8
direct
0.9027 0.1936 0.6148
0.6234 0.7492 0.0273
0.3704 0.2642 0.9592
0.2236 0.5541 0.1840
0.0502 0.8986 0.8925
0.6459 0.7079 0.5454
0.9303 0.1398 0.0933
0.7958 0.4079 0.8207
0.7869 0.4272 0.3146
0.0937 0.8128 0.3857
0.4769 0.0448 0.7536
0.2226 0.5537 0.6816
0.5357 0.9296 0.2501
0.3412 0.3170 0.4751
0.8495 0.2998 0.7177
0.1624 0.6764 0.2760
0.2755 0.4484 0.5788
0.4233 0.1527 0.8566
0.7163 0.5672 0.4307
0.9975 0.0086 0.0019
0.7094 0.5819 0.9265
0.1355 0.7271 0.7881
0.2827 0.4340 0.0741
0.5632 0.8717 0.6486
0.4416 0.1170 0.3441
0.5770 0.8481 0.1396
0.8709 0.2581 0.2045
0.9958 0.0084 0.5148
```

E_tot in eV/cell: -162.49
Spin magnetization in μB/f.u.: 2.0

=====

Record 10
Computed, not measured: an optimized crystal structure of Li3Mn3CoO8 at the GGA+U level of DFT.

The structure in POSCAR format:
```
Li3Mn3CoO8
1.0
-3.4308 2.9564 3.6409
-4.1345 -2.8108 2.9034
8.6534 -1.7275 5.2242
O Mn Co Li
16 6 2 6
direct
0.8598 0.3704 0.6034
0.6422 0.1362 0.8948
0.4011 0.3619 0.1188
0.1520 0.0984 0.3816
0.8668 0.8677 0.1029
0.3578 0.8638 0.1052
0.3708 0.3641 0.6039
0.6235 0.1411 0.3942
0.1332 0.1323 0.8971
0.6292 0.6359 0.3961
0.3765 0.8589 0.6058
0.8649 0.3623 0.1042
0.1402 0.6296 0.3966
0.5989 0.6381 0.8812
0.8480 0.9016 0.6184
0.1351 0.6377 0.8958
0.0000 0.0000 0.5000
0.5000 0.0000 0.5000
0.5000 0.0000 0.0000
0.5000 0.5000 0.0000
0.0000 0.5000 0.5000
0.0001 0.5000 0.0000
0.5000 0.5000 0.5000
0.0000 0.0000 0.0000
0.7626 0.2274 0.2470
0.2665 0.7379 0.2521
0.2695 0.2340 0.2518
0.7305 0.7660 0.7482
0.7335 0.2621 0.7479
0.2374 0.7726 0.7530
```

E_tot in eV/cell: -192.14
DOS(E_F) in states/eV per cell: 0.508
Spin magnetization in μB/f.u.: 9.0

=====

Record 11
Computed, not measured: an optimized crystal structure of Li2Mn3CoO8 at the GGA+U level of DFT.

The structure in POSCAR format:
```
Li2Mn3CoO8
1.0
-3.2657 3.1924 3.6969
-2.5434 -2.5491 4.6429
1.9475 1.1389 5.4252
O Li Mn Co
8 2 3 1
direct
0.7462 0.2897 0.7462
0.2621 0.2621 0.2621
0.7462 0.7462 0.2897
0.7407 0.7407 0.7407
0.2519 0.7093 0.2519
0.2897 0.7462 0.7462
0.2519 0.2519 0.7093
0.7093 0.2519 0.2519
0.1156 0.1156 0.1156
0.4993 0.4993 0.4993
0.4990 0.4990 0.0056
0.4990 0.0056 0.4990
0.0056 0.4990 0.4990
0.8836 0.8836 0.8836
```

E_tot in eV/cell: -92.35
Spin magnetization in μB/f.u.: 12.0

=====

Record 12
Computed, not measured: an optimized crystal structure of Li4MnCo2O7 at the GGA+U level of DFT.

The structure in POSCAR format:
```
Li4MnCo2O7
1.0
6.5604 -0.0052 -0.0128
2.0210 6.2590 -0.0089
2.1016 1.4490 6.0933
Co O Li Mn
4 14 8 2
direct
0.1443 0.5687 0.2928
0.5751 0.2919 0.1271
0.4427 0.7091 0.8538
0.7174 0.8455 0.4298
0.7308 0.7554 0.7491
0.5906 0.1660 0.4568
0.5271 0.3909 0.8429
0.1169 0.6984 0.9679
0.3915 0.8374 0.5429
0.4523 0.6032 0.1784
0.0298 0.8962 0.3004
0.9842 0.1018 0.6928
0.7006 0.9712 0.1021
0.2507 0.2457 0.2768
0.1878 0.4446 0.5954
0.3036 0.0390 0.8791
0.8924 0.2982 0.0403
0.8299 0.5549 0.3854
0.0667 0.7804 0.6505
0.9256 0.2197 0.3567
0.2064 0.3645 0.9203
0.8580 0.4282 0.7155
0.6469 0.0769 0.7825
0.7873 0.6419 0.0661
0.5031 0.4951 0.5036
0.3572 0.9257 0.2202
0.9997 0.0047 0.9988
0.2815 0.1448 0.5720
```

E_tot in eV/cell: -163.46
Spin magnetization in μB/f.u.: 5.0